# LiScRe, optimized geometry, DFT PBE-GGA
data_LiScRe
_chemical_formula_sum 'Li1 Sc1 Re1'
_symmetry_space_group_name_H-M 'P 3 m 1'
_symmetry_Int_Tables_number 156
_cell_length_a 4.7050
_cell_length_b 4.7050
_cell_length_c 2.5423
_cell_angle_alpha 90.00
_cell_angle_beta 90.00
_cell_angle_gamma 120.00
loop_
_symmetry_equiv_pos_as_xyz
'x,y,z'
'-y,x-y,z'
'-x+y,-x,z'
'-y,-x,z'
'-x+y,y,z'
'x,x-y,z'
loop_
_atom_site_label
_atom_site_type_symbol
_atom_site_fract_x
_atom_site_fract_y
_atom_site_fract_z
_atom_site_occupancy
Li1 Li 0.0000 0.0000 0.0000 1
Sc1 Sc 0.3333 0.6667 0.8000 1
Re1 Re 0.6667 0.3333 0.3405 1
# Calculated formation energy, eV/atom: 0.197
# Energy relative to the lowest polymorph listed for this composition, meV per atom: 0.0
# Magnetization, μB/atom: 0.0039